# 1
DFT (PBE) results for a geometry-optimized CuRh2N2 structure.

Unit cell a=6.591 b=6.591 c=2.716 alpha=90.00 beta=90.00 gamma=90.00
Space group P4/mbm (No. 127)
One atom of each set of equivalent atoms:
Cu  0.000  0.000  0.000 x2
Rh  0.180  0.320  0.000 x4
N  0.165  0.665  0.500 x4

Its energy is -5.99 eV/atom.



# 2
DFT (PBE) results for a geometry-optimized AlCd2Cu structure.

Unit cell a=9.504 b=3.043 c=5.217 alpha=90.00 beta=104.35 gamma=90.00
Space group Cm (No. 8)
One atom of each set of equivalent atoms:
Al  0.000  0.000  0.000 x2
Cd  0.035  0.500  0.547 x2
Cd  0.262  0.500  0.256 x2
Cu  0.283  0.000  0.790 x2

Its energy is -2.32 eV/atom. The value obtained for the formation energy is 0.095 eV/atom.



# 3
DFT (PBE) results for a geometry-optimized Sr4GaI5 structure.

Unit cell a=21.004 b=4.621 c=9.714 alpha=90.00 beta=105.65 gamma=90.00
Space group C2/m (No. 12)
One atom of each set of equivalent atoms:
Sr  0.001  0.000  0.262 x4
Sr  0.159  0.500  0.589 x4
Ga  0.000  0.500  0.500 x2
I  0.000  0.500  0.000 x2
I  0.164  0.000  0.832 x4
I  0.172  0.000  0.345 x4

Its energy is -3.05 eV/atom.



# 4
DFT (PBE) results for a geometry-optimized AlIrW2 structure.

Unit cell a=2.809 b=2.809 c=7.727 alpha=90.00 beta=90.00 gamma=90.00
Space group P4mm (No. 99)
One atom of each set of equivalent atoms:
Al  0.000  0.000  0.000 x1
Ir  0.500  0.500  0.224 x1
W  0.000  0.000  0.464 x1
W  0.500  0.500  0.745 x1

Its energy is -9.85 eV/atom. The value obtained for the formation energy is -0.219 eV/atom.



# 5
DFT (PBE) results for a geometry-optimized Li2MnCr structure.

Unit cell a=4.271 b=4.271 c=3.510 alpha=90.00 beta=90.00 gamma=90.00
Space group P4/mmm (No. 123)
One atom of each set of equivalent atoms:
Li  0.000  0.500  0.000 x2
Mn  0.000  0.000  0.500 x1
Cr  0.500  0.500  0.500 x1

Its energy is -4.99 eV/atom. The value obtained for the formation energy is 0.669 eV/atom.



# 6
DFT (PBE) results for a geometry-optimized MgMnTe structure.

Unit cell a=4.4617 b=4.4617 c=3.9539 alpha=90.00 beta=90.00 gamma=120.00
Space group P3m1 (No. 156)
One atom of each set of equivalent atoms:
Mg  0.0000  0.0000  0.0000 x1
Mn  0.3333  0.6667  0.5024 x1
Te  0.6667  0.3333  0.4993 x1

Its energy is -4.54 eV/atom.



# 7
DFT (PBE) results for a geometry-optimized YAg2Au structure.

Unit cell a=3.334 b=4.899 c=5.410 alpha=90.00 beta=90.19 gamma=90.00
Space group P2/m (No. 10)
One atom of each set of equivalent atoms:
Y  0.000  0.000  0.000 x1
Ag  0.496  0.500  0.753 x2
Au  0.500  0.000  0.500 x1

Its energy is -4.13 eV/atom. The value obtained for the formation energy is -0.268 eV/atom.



# 8
DFT (PBE) results for a geometry-optimized Sb2CI structure.

Unit cell a=7.299 b=7.299 c=7.858 alpha=90.00 beta=90.00 gamma=90.00
Space group I-42d (No. 122)
One atom of each set of equivalent atoms:
Sb  0.134  0.250  0.125 x8
C  0.000  0.000  0.000 x4
I  0.000  0.000  0.500 x4

Its energy is -3.86 eV/atom.



# 9
DFT (PBE) results for a geometry-optimized Pr4Sm3Dy8 structure.

Unit cell a=13.528 b=12.905 c=6.822 alpha=90.00 beta=120.18 gamma=90.00
Space group C2/m (No. 12)
One atom of each set of equivalent atoms:
Pr  0.000  0.000  0.000 x2
Pr  0.000  0.000  0.500 x2
Pr  0.250  0.250  0.000 x4
Sm  0.000  0.500  0.000 x2
Sm  0.250  0.250  0.500 x4
Dy  0.000  0.257  0.000 x4
Dy  0.000  0.361  0.500 x4
Dy  0.230  0.500  0.965 x4
Dy  0.232  0.500  0.489 x4

Its energy is -4.32 eV/atom. The value obtained for the formation energy is 0.352 eV/atom.



# 10
DFT (PBE) results for a geometry-optimized CaMo2Ru structure.

Unit cell a=2.852 b=2.852 c=8.957 alpha=90.00 beta=90.00 gamma=90.00
Space group P4/mmm (No. 123)
One atom of each set of equivalent atoms:
Ca  0.000  0.000  0.000 x1
Mo  0.500  0.500  0.298 x2
Ru  0.000  0.000  0.500 x1

Its energy is -7.70 eV/atom. The value obtained for the formation energy is 0.532 eV/atom.



# 11
DFT (PBE) results for a geometry-optimized Sc2TcIr structure.

Unit cell a=8.576 b=3.051 c=5.397 alpha=90.00 beta=102.27 gamma=90.00
Space group C2/m (No. 12)
One atom of each set of equivalent atoms:
Sc  0.249  0.000  0.247 x4
Tc  0.000  0.500  0.000 x2
Ir  0.000  0.000  0.500 x2

Its energy is -8.24 eV/atom. The value obtained for the formation energy is -0.265 eV/atom.



# 12
DFT (PBE) results for a geometry-optimized ErCdGaSn structure.

Unit cell a=4.358 b=4.524 c=4.589 alpha=90.00 beta=90.00 gamma=90.00
Space group Pmmm (No. 47)
One atom of each set of equivalent atoms:
Er  0.000  0.000  0.000 x1
Cd  0.000  0.500  0.500 x1
Ga  0.500  0.500  0.000 x1
Sn  0.500  0.000  0.500 x1

Its energy is -3.55 eV/atom. The value obtained for the formation energy is -0.425 eV/atom.



# 13
DFT (PBE) results for a geometry-optimized AlCoCu2 structure.

Unit cell a=2.6286 b=2.6286 c=24.9966 alpha=90.00 beta=90.00 gamma=120.00
Space group R-3m (No. 166, hexagonal axes)
One atom of each set of equivalent atoms:
Al  0.0000  0.0000  0.0000 x3
Co  0.0000  0.0000  0.5000 x3
Cu  0.0000  0.0000  0.2491 x6

Its energy is -4.69 eV/atom. The value obtained for the formation energy is 0.071 eV/atom.



# 14
DFT (PBE) results for a geometry-optimized Pr2ErCd2 structure.

Unit cell a=5.031 b=7.070 c=8.442 alpha=90.00 beta=90.00 gamma=90.00
Space group Immm (No. 71)
One atom of each set of equivalent atoms:
Pr  0.000  0.000  0.195 x4
Er  0.000  0.500  0.000 x2
Cd  0.000  0.286  0.500 x4

Its energy is -3.38 eV/atom. The value obtained for the formation energy is -0.186 eV/atom.



# 15
DFT (PBE) results for a geometry-optimized CdBi structure.

Unit cell a=4.469 b=11.645 c=6.885 alpha=90.00 beta=90.00 gamma=90.00
Space group Amm2 (No. 38)
One atom of each set of equivalent atoms:
Cd  0.000  0.000  0.000 x2
Cd  0.000  0.128  0.378 x4
Bi  0.500  0.000  0.692 x2
Bi  0.500  0.218  0.043 x4

Its energy is -2.34 eV/atom. The value obtained for the formation energy is 0.062 eV/atom.